No. 1
Material: Ba6CdRh2Br3
Method: DFT, GGA-PBE
State: optimized geometry

Lattice parameters (Å, degrees): 21.4397 4.5793 10.0576 90.00 108.95 90.00
Space group C2/m (No. 12)
Symmetry-distinct sites (fractional):
Ba1 0.0155 0.0000 0.2619 x4
Ba2 0.1691 0.5000 0.1156 x4
Ba3 0.1781 0.5000 0.5561 x4
Cd1 0.0000 0.5000 0.0000 x2
Rh1 0.1617 0.0000 0.3247 x4
Br1 0.0000 0.5000 0.5000 x2
Br2 0.1663 0.0000 0.8257 x4

Calculated values
Total magnetization ... 0.96 Bohr magnetons per cell
Total energy ... -3.60 eV per atom
Calculated volume ... 38.91 Å³ per atom

No. 2
Material: LiPdRh
Method: DFT, GGA-PBE
State: optimized geometry

Lattice parameters (Å, degrees): 2.6970 2.6970 11.6460 90.00 90.00 90.00
Space group I4mm (No. 107)
Symmetry-distinct sites (fractional):
Li1 0.0000 0.0000 0.0000 x2
Pd1 0.0000 0.0000 0.3364 x2
Rh1 0.0000 0.0000 0.6644 x2

Calculated values
Energy above the lowest structure with this stoichiometry ... 18 meV per atom
Total magnetization ... 0.50 Bohr magnetons per cell
Formation energy from the elements ... -0.20 eV/f.u.
Calculated volume ... 14.12 Å³ per atom

No. 3
Material: Dy3Ni7Ge2
Method: DFT, GGA-PBE
State: optimized geometry

Lattice parameters (Å, degrees): 3.9811 27.3803 3.6901 90.00 90.00 90.00
Space group Cmmm (No. 65)
Symmetry-distinct sites (fractional):
Dy1 0.0000 0.0000 0.0000 x2
Dy2 0.0000 0.2029 0.0000 x4
Ni1 0.0000 0.1296 0.5000 x4
Ni2 0.0000 0.2937 0.5000 x4
Ni3 0.0000 0.3651 0.0000 x4
Ni4 0.0000 0.5000 0.5000 x2
Ge1 0.0000 0.4176 0.5000 x4

Calculated values
Total magnetization ... 0.00 Bohr magnetons per cell
Formation energy from the elements ... -3.23 eV/f.u.
Calculated volume ... 16.76 Å³ per atom

No. 4
Material: GeTeI2O
Method: DFT, GGA-PBE
State: optimized geometry

Lattice parameters (Å, degrees): 6.1852 6.1852 4.0555 90.00 90.00 90.00
Space group P4/mmm (No. 123)
Symmetry-distinct sites (fractional):
Ge1 0.0000 0.0000 0.0000 x1
Te1 0.5000 0.5000 0.5000 x1
I1 0.0000 0.5000 0.5000 x2
O1 0.5000 0.5000 0.0000 x1

Calculated values
Energy above the lowest structure with this stoichiometry ... 196 meV per atom
Total magnetization ... 0.70 Bohr magnetons per cell
Calculated volume ... 31.03 Å³ per atom

No. 5
Material: Mg2ReTc
Method: DFT, GGA-PBE
State: optimized geometry

Lattice parameters (Å, degrees): 5.3656 9.0436 2.6475 90.00 90.00 90.00
Space group Cmmm (No. 65)
Symmetry-distinct sites (fractional):
Mg1 0.2500 0.2500 0.0000 x4
Re1 0.0000 0.0000 0.5000 x2
Tc1 0.0000 0.5000 0.5000 x2

Calculated values
Energy above the lowest structure with this stoichiometry ... 310 meV per atom
Total magnetization ... 0.00 Bohr magnetons per cell
Formation energy from the elements ... 1.31 eV/f.u.
Calculated volume ... 16.06 Å³ per atom

No. 6
Material: TmSbPd
Method: DFT, GGA-PBE
State: optimized geometry

Lattice parameters (Å, degrees): 3.9730 3.9730 8.6907 90.00 90.00 90.00
Space group I4mm (No. 107)
Symmetry-distinct sites (fractional):
Tm1 0.0000 0.0000 0.0000 x2
Sb1 0.0000 0.0000 0.3372 x2
Pd1 0.0000 0.0000 0.6538 x2

Calculated values
Total magnetization ... 0.00 Bohr magnetons per cell
Total energy ... -5.26 eV per atom
Calculated volume ... 22.86 Å³ per atom

No. 7
Material: Cs14KP
Method: DFT, GGA-PBE
State: optimized geometry

Lattice parameters (Å, degrees): 14.2083 13.4151 16.9188 90.00 90.00 90.00
Space group Amm2 (No. 38)
Symmetry-distinct sites (fractional):
Cs1 0.0000 0.0000 0.0000 x2
Cs2 0.0000 0.0000 0.4741 x2
Cs3 0.0000 0.2158 0.7354 x4
Cs4 0.2474 0.0000 0.2364 x4
Cs5 0.2990 0.0000 0.7922 x4
Cs6 0.3394 0.1628 0.5410 x8
Cs7 0.5000 0.2357 0.7652 x4
K1 0.5000 0.0000 0.0315 x2
P1 0.5000 0.0000 0.6596 x2

Calculated values
Total magnetization ... 0.00 Bohr magnetons per cell
Formation energy from the elements ... -0.30 eV/f.u.
Calculated volume ... 100.78 Å³ per atom

No. 8
Material: LiAcThTe3
Method: DFT, GGA-PBE
State: optimized geometry

Lattice parameters (Å, degrees): 9.5467 4.3223 9.8363 90.00 107.04 90.00
Space group P2_1/m (No. 11)
Symmetry-distinct sites (fractional):
Li1 0.0849 0.2500 0.0940 x2
Ac1 0.1866 0.2500 0.7387 x2
Th1 0.3575 0.7500 0.3680 x2
Te1 0.1048 0.2500 0.3783 x2
Te2 0.2182 0.7500 0.0179 x2
Te3 0.4353 0.7500 0.7096 x2

Calculated values
Total magnetization ... 0.00 Bohr magnetons per cell
Total energy ... -5.05 eV per atom
Calculated volume ... 32.34 Å³ per atom